## MoP2Pt (PBE)

Data for a geometry-optimized MoP2Pt structure.

Output
Its formation energy is -193 meV per atom. The density is 10.10 g/cm3.

Cell lengths 4.047, 3.082, 5.065 Å; angles 90.00, 113.26, 90.00 degrees
Space group P2/m (No. 10)
One atom of each set of equivalent atoms:
Mo 0.000 0.000 0.000
P 0.000 0.000 0.500
P 0.500 0.500 0.000
Pt 0.500 0.500 0.500

## MoPPt2 (PBE)

Data for a geometry-optimized MoPPt2 structure.

Output
Its formation energy is 18 meV per atom. The density is 14.23 g/cm3.

Cell lengths 3.780, 3.780, 8.444 Å; angles 90.00, 90.00, 90.00 degrees
Space group I4/mmm (No. 139)
One atom of each set of equivalent atoms:
Mo 0.000 0.000 0.000
P 0.000 0.000 0.500
Pt 0.000 0.500 0.250

## MoPPt2 (PBE)

Data for a geometry-optimized MoPPt2 structure.

Output
Its formation energy is 157 meV per atom. The density is 13.65 g/cm3.

Cell lengths 4.782, 4.782, 2.751 Å; angles 90.00, 90.00, 90.00 degrees
Space group P4/mmm (No. 123)
One atom of each set of equivalent atoms:
Mo 0.000 0.000 0.000
P 0.500 0.500 0.000
Pt 0.000 0.500 0.500